Record 1
# SbPbF3, relaxed, DFT PBE
data_SbPbF3
_chemical_formula_sum 'Sb1 Pb1 F3'
_symmetry_space_group_name_H-M 'P 1'
_symmetry_Int_Tables_number 1
_cell_length_a 4.647
_cell_length_b 4.647
_cell_length_c 4.647
_cell_angle_alpha 90.00
_cell_angle_beta 90.00
_cell_angle_gamma 90.00
loop_
_symmetry_equiv_pos_as_xyz
'x,y,z'
loop_
_atom_site_label
_atom_site_type_symbol
_atom_site_fract_x
_atom_site_fract_y
_atom_site_fract_z
F1 F 0.000 0.000 0.500
F2 F 0.000 0.500 0.000
F3 F 0.500 0.000 0.000
Sb1 Sb 0.000 0.000 0.000
Pb1 Pb 0.500 0.500 0.500
# - Offset from the most stable computed form: 0.0 kJ per mole of atoms

---

Record 2
# SbPbF2, relaxed, DFT PBE
data_SbPbF2
_chemical_formula_sum 'Sb1 Pb1 F2'
_symmetry_space_group_name_H-M 'P 1'
_symmetry_Int_Tables_number 1
_cell_length_a 4.728
_cell_length_b 4.728
_cell_length_c 4.728
_cell_angle_alpha 60.00
_cell_angle_beta 60.00
_cell_angle_gamma 60.00
loop_
_symmetry_equiv_pos_as_xyz
'x,y,z'
loop_
_atom_site_label
_atom_site_type_symbol
_atom_site_fract_x
_atom_site_fract_y
_atom_site_fract_z
F1 F 0.750 0.750 0.750
F2 F 0.250 0.250 0.250
Pb1 Pb 0.500 0.500 0.500
Sb1 Sb 0.000 0.000 0.000
# - Offset from the most stable computed form: 42.5 kJ per mole of atoms

---

Record 3
# Sb3PbF, relaxed, DFT PBE
data_Sb3PbF
_chemical_formula_sum 'Sb3 Pb1 F1'
_symmetry_space_group_name_H-M 'P 1'
_symmetry_Int_Tables_number 1
_cell_length_a 5.807
_cell_length_b 5.807
_cell_length_c 5.807
_cell_angle_alpha 90.00
_cell_angle_beta 90.00
_cell_angle_gamma 90.00
loop_
_symmetry_equiv_pos_as_xyz
'x,y,z'
loop_
_atom_site_label
_atom_site_type_symbol
_atom_site_fract_x
_atom_site_fract_y
_atom_site_fract_z
Pb1 Pb 0.000 0.000 0.000
Sb1 Sb 0.000 0.500 0.000
Sb2 Sb 0.000 0.000 0.500
Sb3 Sb 0.500 0.000 0.000
F1 F 0.500 0.500 0.500
# - Offset from the most stable computed form: 88.5 kJ per mole of atoms

---

Quick rundown of formation energy from raw total energies, same order as above: -1393, -978, 735 meV/atom
Quick rundown of total magnetic moment, same order as above: 0.00, 0.00, 0.00 μB/cell
Quick rundown of theoretical density, same order as above: 6.4, 8.2, 5.0 g/cm³